The following is a GGA-PBE calculation of a geometry-optimized Tl2InGeSe4 structure, from Alexandria.

## Properties
Crystal system: orthorhombic
Energy relative to the elements, uncorrected (eV per atom): -0.3257

Unit cell a=6.508 b=7.706 c=12.354 alpha=83.61 beta=74.73 gamma=65.02
Positions (direct):
Tl: 0.804 0.000 0.393
Tl: 0.554 0.500 0.893
Tl: 0.196 0.000 0.607
Tl: 0.946 0.500 0.107
Se: 0.317 0.779 0.107
Se: 0.575 0.221 0.107
Se: 0.204 0.221 0.893
Se: 0.847 0.721 0.607
Se: 0.903 0.779 0.893
Se: 0.546 0.279 0.607
Se: 0.433 0.721 0.393
Se: 0.175 0.279 0.393
In: 0.750 0.500 0.500
In: 0.000 0.000 0.000
Ge: 0.500 0.000 0.000
Ge: 0.250 0.500 0.500

The following is a GGA-PBE calculation of a geometry-optimized TlInGe2Se6 structure, from Alexandria.

## Properties
Crystal system: monoclinic
Energy relative to the elements, uncorrected (eV per atom): -0.2589

Unit cell a=7.134 b=9.900 c=9.900 alpha=93.58 beta=76.58 gamma=76.58
Positions (direct):
Se: 0.541 0.575 0.689
Se: 0.717 0.809 0.964
Se: 0.403 0.858 0.407
Se: 0.597 0.142 0.593
Se: 0.283 0.191 0.036
Se: 0.959 0.311 0.425
Se: 0.041 0.689 0.575
Se: 0.097 0.593 0.142
Se: 0.459 0.425 0.311
Se: 0.217 0.964 0.809
Se: 0.903 0.407 0.858
Se: 0.783 0.036 0.191
Ge: 0.819 0.629 0.771
Ge: 0.681 0.229 0.371
Ge: 0.181 0.371 0.229
Ge: 0.319 0.771 0.629
In: 0.250 0.232 0.768
In: 0.750 0.768 0.232
Tl: 0.750 0.116 0.884
Tl: 0.250 0.884 0.116

The following is a GGA-PBE calculation of a geometry-optimized TlInGeSe4 structure, from Alexandria.

## Properties
Crystal system: orthorhombic
Energy relative to the elements, uncorrected (eV per atom): -0.3718

Unit cell a=7.955 b=7.955 c=7.938 alpha=90.00 beta=90.00 gamma=111.16
Positions (direct):
Se: 0.224 0.189 0.250
Se: 0.247 0.753 0.486
Se: 0.247 0.753 0.014
Se: 0.753 0.247 0.986
Se: 0.811 0.776 0.250
Se: 0.776 0.811 0.750
Se: 0.189 0.224 0.750
Se: 0.753 0.247 0.514
Tl: 0.500 0.500 0.500
Tl: 0.500 0.500 0.000
Ge: 0.134 0.866 0.250
Ge: 0.866 0.134 0.750
In: 0.127 0.873 0.750
In: 0.873 0.127 0.250